Record 1
Material: Mn2TcSe
Method: DFT, GGA-PBEsol
State: optimized geometry

The calculation puts the raw formation energy at 194.9 meV per atom.

Cell: 2.9663 4.1129 4.1644 Å, 90.00 90.00 90.00°
Closest atoms and distances in Å follow each position.
Sites, in units of the cell vectors:
Mn  0.0000  0.0000  0.0000  4 Se 2.54, 4 Mn 2.56
Mn  0.5000  0.0000  0.5000  4 Tc 2.54, 4 Mn 2.56
Se  0.5000  0.5000  0.0000  4 Mn 2.54, 4 Tc 2.56
Tc  0.0000  0.5000  0.5000  4 Mn 2.54, 4 Se 2.56

Record 2
Material: Sm2S3O12
Method: DFT, GGA-PBEsol
State: optimized geometry

The calculation puts the raw formation energy at -2185.2 meV per atom.

Cell: 6.5918 6.8226 11.1259 Å, 105.79 107.23 90.00°
Closest atoms and distances in Å follow each position.
Sites, in units of the cell vectors:
Sm  0.7267  0.8650  0.7360  7 O 2.33-2.46
Sm  0.2733  0.1350  0.2640  7 O 2.33-2.46
Sm  0.9908  0.6350  0.2640  7 O 2.33-2.46
Sm  0.0092  0.3650  0.7360  7 O 2.33-2.46
S  0.5027  0.6820  0.3675  4 O 1.46-1.51
S  0.4973  0.3180  0.6325  4 O 1.46-1.51
S  0.1352  0.8180  0.6325  4 O 1.46-1.51
S  0.8648  0.1820  0.3675  4 O 1.46-1.51
S  0.8319  0.7500  0.0000  4 O 1.47-1.50
S  0.1681  0.2500  0.0000  4 O 1.47-1.50
O  0.3407  0.8095  0.3044  1 S 1.51
O  0.6593  0.1905  0.6956  1 S 1.51
O  0.0363  0.6905  0.6956  1 S 1.51
O  0.9637  0.3095  0.3044  1 S 1.51
O  0.6300  0.5046  0.6469  1 S 1.49
O  0.3700  0.4954  0.3531  1 S 1.49
O  0.9831  0.9954  0.3531  1 S 1.49
O  0.0169  0.0046  0.6469  1 S 1.49
O  0.3620  0.8694  0.7048  1 S 1.46
O  0.6380  0.1306  0.2952  1 S 1.46
O  0.6572  0.6306  0.2952  1 S 1.46
O  0.3428  0.3694  0.7048  1 S 1.46
O  0.6064  0.7919  0.5049  1 S 1.46
O  0.3936  0.2081  0.4951  1 S 1.46
O  0.1015  0.7081  0.4951  1 S 1.46
O  0.8985  0.2919  0.5049  1 S 1.46
O  0.9094  0.6398  0.8877  1 S 1.50
O  0.0906  0.3602  0.1123  1 S 1.50
O  0.0217  0.8602  0.1123  1 S 1.50
O  0.9783  0.1398  0.8877  1 S 1.50
O  0.6853  0.8912  0.9489  1 S 1.47
O  0.3147  0.1088  0.0511  1 S 1.47
O  0.7364  0.6088  0.0511  1 S 1.47
O  0.2636  0.3912  0.9489  1 S 1.47

Record 3
Material: SrSb2As
Method: DFT, GGA-PBEsol
State: optimized geometry

The calculation puts the raw formation energy at -426.1 meV per atom.

Cell: 4.2669 4.2669 6.7341 Å, 90.00 90.00 90.00°
Closest atoms and distances in Å follow each position.
Sites, in units of the cell vectors:
Sb  0.0000  0.0000  0.1615  4 Sb 3.15, 2 Sr 3.34-3.40
Sb  0.5000  0.5000  0.0295  1 As 2.60
As  0.5000  0.5000  0.6431  1 Sb 2.60
Sr  0.0000  0.0000  0.6659  4 As 3.02, 1 Sb 3.34

Record 4
Material: RbNaCd2
Method: DFT, GGA-PBEsol
State: optimized geometry

The calculation puts the formation enthalpy at 0 K at 0.107 eV per atom.

Cell: 5.7297 5.7297 5.7297 Å, 60.00 60.00 60.00°
Closest atoms and distances in Å follow each position.
Sites, in units of the cell vectors:
Na  0.0000  0.0000  0.0000  8 Cd 3.51
Rb  0.5000  0.5000  0.5000  8 Cd 3.51
Cd  0.2500  0.2500  0.2500  4 Na 3.51, 4 Rb 3.51
Cd  0.7500  0.7500  0.7500  4 Rb 3.51, 4 Na 3.51

Record 5
Material: Zr2CdFe
Method: DFT, GGA-PBEsol
State: optimized geometry

The calculation puts the formation enthalpy at 0 K at 0.026 eV per atom.

Cell: 3.2279 3.2279 7.0324 Å, 90.00 90.00 90.00°
Closest atoms and distances in Å follow each position.
Sites, in units of the cell vectors:
Cd  0.0000  0.0000  0.5344  4 Fe 2.81, 5 Zr 2.96-3.07
Fe  0.5000  0.5000  0.7674  4 Zr 2.64, 4 Cd 2.81
Zr  0.0000  0.0000  0.9554  4 Fe 2.64
Zr  0.5000  0.5000  0.2429  8 Zr 3.05-3.23, 4 Cd 3.07, 1 Fe 3.34

Record 6
Material: CaSiHg2Pd
Method: DFT, GGA-PBEsol
State: optimized geometry

The calculation puts the raw formation energy at 248.5 meV per atom.

Cell: 5.0804 5.0804 5.1141 Å, 90.00 90.00 90.00°
Closest atoms and distances in Å follow each position.
Sites, in units of the cell vectors:
Ca  0.0000  0.0000  0.5000  2 Pd 2.56
Si  0.5000  0.5000  0.5000  4 Ca 3.59, 8 Hg 3.60
Hg  0.0000  0.5000  0.0000  2 Pd 2.54
Hg  0.5000  0.0000  0.0000  2 Pd 2.54
Pd  0.0000  0.0000  0.0000  4 Hg 2.54, 2 Ca 2.56

Record 7
Material: Ca4YCu
Method: DFT, GGA-PBEsol
State: optimized geometry

The calculation puts the formation enthalpy at 0 K at 0.626 eV per atom.

Cell: 6.6460 6.6460 6.6460 Å, 60.00 60.00 60.00°
Closest atoms and distances in Å follow each position.
Sites, in units of the cell vectors:
Ca  0.3749  0.3749  0.3749  6 Ca 3.32-3.33
Ca  0.3749  0.3749  0.8754  6 Ca 3.32-3.33
Ca  0.8754  0.3749  0.3749  6 Ca 3.32-3.33
Ca  0.3749  0.8754  0.3749  6 Ca 3.32-3.33
Cu  0.7500  0.7500  0.7500  12 Ca 3.90, 4 Y 4.07
Y  0.0000  0.0000  0.0000  12 Ca 3.90, 4 Cu 4.07

Record 8
Material: CaSc2H
Method: DFT, GGA-PBEsol
State: optimized geometry

Its total energy is -3.773 eV per atom.

Cell: 5.0045 5.0045 5.0045 Å, 60.00 60.00 60.00°
Closest atoms and distances in Å follow each position.
Sites, in units of the cell vectors:
Sc  0.2500  0.2500  0.2500  4 H 3.06, 4 Ca 3.06
Sc  0.7500  0.7500  0.7500  4 Ca 3.06, 4 H 3.06
H  0.0000  0.0000  0.0000  8 Sc 3.06
Ca  0.5000  0.5000  0.5000  8 Sc 3.06